# 1
DFT (PBE-GGA) results for an optimized crystal structure of Zn2HgBr.

formation energy (no corrections): -73 meV per atom
D(E_F): 0.3 states/eV per cell
total magnetic moment: 0.0 μB/cell

abc: 3.665 3.506 8.043
angles: 90.00 90.04 90.00
Space group Pm (No. 6)
Asymmetric unit:
Zn 0.000 0.000 0.000 (multiplicity 1)
Zn 0.152 0.500 0.231 (multiplicity 1)
Hg 0.518 0.500 0.820 (multiplicity 1)
Br 0.409 0.000 0.430 (multiplicity 1)



# 2
DFT (PBE-GGA) results for an optimized crystal structure of Zn2HgBr2.

formation energy (no corrections): -290 meV per atom
D(E_F): 0.0 states/eV per cell
total magnetic moment: 0.0 μB/cell

abc: 4.999 4.999 10.318
angles: 90.00 90.00 90.00
Space group I4/mmm (No. 139)
Asymmetric unit:
Zn 0.000 0.000 0.118 (multiplicity 4)
Hg 0.000 0.000 0.500 (multiplicity 2)
Br 0.000 0.500 0.250 (multiplicity 4)



# 3
DFT (PBE-GGA) results for an optimized crystal structure of Zn3HgBr.

formation energy (no corrections): 121 meV per atom
D(E_F): 1.5 states/eV per cell
total magnetic moment: 0.0 μB/cell

abc: 5.143 5.143 5.143
angles: 90.00 90.00 90.00
Space group Pm-3m (No. 221)
Asymmetric unit:
Zn 0.000 0.000 0.500 (multiplicity 3)
Hg 0.000 0.000 0.000 (multiplicity 1)
Br 0.500 0.500 0.500 (multiplicity 1)



# 4
DFT (PBE-GGA) results for an optimized crystal structure of Zn2HgBr.

formation energy (no corrections): 122 meV per atom
D(E_F): 2.5 states/eV per cell
total magnetic moment: 0.0 μB/cell

abc: 5.085 5.085 3.535
angles: 90.00 90.00 90.00
Space group P4/mmm (No. 123)
Asymmetric unit:
Zn 0.000 0.500 0.000 (multiplicity 2)
Hg 0.000 0.000 0.500 (multiplicity 1)
Br 0.500 0.500 0.500 (multiplicity 1)



# 5
DFT (PBE-GGA) results for an optimized crystal structure of Zn2HgBr.

formation energy (no corrections): -22 meV per atom
D(E_F): 4.5 states/eV per cell
total magnetic moment: 0.0 μB/cell

abc: 7.547 7.547 6.801
angles: 90.00 90.00 90.00
Space group I-42d (No. 122)
Asymmetric unit:
Zn 0.238 0.250 0.125 (multiplicity 8)
Hg 0.000 0.000 0.000 (multiplicity 4)
Br 0.000 0.000 0.500 (multiplicity 4)



# 6
DFT (PBE-GGA) results for an optimized crystal structure of ZrHgBr2.

formation energy (no corrections): -432 meV per atom
D(E_F): 3.8 states/eV per cell
total magnetic moment: 0.0 μB/cell

abc: 5.070 3.606 11.085
angles: 90.00 90.00 90.00
Space group Amm2 (No. 38)
Asymmetric unit:
Zr 0.000 0.000 0.000 (multiplicity 2)
Hg 0.500 0.000 0.384 (multiplicity 2)
Br 0.000 0.000 0.699 (multiplicity 2)
Br 0.500 0.000 0.103 (multiplicity 2)



# 7
DFT (PBE-GGA) results for an optimized crystal structure of Zr2Hg2Br.

formation energy (no corrections): -248 meV per atom
D(E_F): 6.2 states/eV per cell
total magnetic moment: 0.0 μB/cell

abc: 7.205 7.205 4.484
angles: 90.00 90.00 90.00
Space group P4/mbm (No. 127)
Asymmetric unit:
Zr 0.154 0.346 0.000 (multiplicity 4)
Hg 0.150 0.650 0.500 (multiplicity 4)
Br 0.000 0.000 0.000 (multiplicity 2)



# 8
DFT (PBE-GGA) results for an optimized crystal structure of ZrHg2Br8.

formation energy (no corrections): -812 meV per atom
D(E_F): 0.0 states/eV per cell
total magnetic moment: 0.0 μB/cell

abc: 13.284 7.521 10.489
angles: 90.00 112.45 90.00
Space group C2/m (No. 12)
Asymmetric unit:
Zr 0.000 0.000 0.000 (multiplicity 2)
Hg 0.169 0.000 0.352 (multiplicity 4)
Br 0.042 0.000 0.760 (multiplicity 4)
Br 0.146 0.500 0.471 (multiplicity 4)
Br 0.149 0.244 0.108 (multiplicity 8)



# 9
DFT (PBE-GGA) results for an optimized crystal structure of ZrHgBr2.

formation energy (no corrections): -172 meV per atom
D(E_F): 3.0 states/eV per cell
total magnetic moment: 0.0 μB/cell

abc: 5.411 3.440 5.816
angles: 90.00 116.81 90.00
Space group P2/m (No. 10)
Asymmetric unit:
Zr 0.000 0.000 0.000 (multiplicity 1)
Hg 0.000 0.500 0.500 (multiplicity 1)
Br 0.500 0.000 0.500 (multiplicity 1)
Br 0.500 0.500 0.000 (multiplicity 1)



# 10
DFT (PBE-GGA) results for an optimized crystal structure of ZrHgBr2.

formation energy (no corrections): -442 meV per atom
D(E_F): 2.7 states/eV per cell
total magnetic moment: 0.0 μB/cell

abc: 3.686 6.148 9.827
angles: 90.00 90.00 90.00
Space group Cmm2 (No. 35)
Asymmetric unit:
Zr 0.000 0.000 0.000 (multiplicity 2)
Hg 0.000 0.500 0.231 (multiplicity 2)
Br 0.000 0.000 0.435 (multiplicity 2)
Br 0.000 0.500 0.794 (multiplicity 2)



# 11
DFT (PBE-GGA) results for an optimized crystal structure of ZrHg3Br.

formation energy (no corrections): 345 meV per atom
D(E_F): 3.9 states/eV per cell
total magnetic moment: 0.0 μB/cell

abc: 5.710 5.710 5.710
angles: 90.00 90.00 90.00
Space group Pm-3m (No. 221)
Asymmetric unit:
Zr 0.000 0.000 0.000 (multiplicity 1)
Hg 0.000 0.000 0.500 (multiplicity 3)
Br 0.500 0.500 0.500 (multiplicity 1)



# 12
DFT (PBE-GGA) results for an optimized crystal structure of ZrHgBr2.

formation energy (no corrections): -160 meV per atom
D(E_F): 4.7 states/eV per cell
total magnetic moment: 0.0 μB/cell

abc: 6.657 9.733 3.441
angles: 90.00 117.72 90.00
Space group C2/m (No. 12)
Asymmetric unit:
Zr 0.000 0.000 0.000 (multiplicity 2)
Hg 0.000 0.500 0.000 (multiplicity 2)
Br 0.250 0.250 0.000 (multiplicity 4)



# 13
DFT (PBE-GGA) results for an optimized crystal structure of ZrHgBr2.

formation energy (no corrections): -750 meV per atom
D(E_F): 3.3 states/eV per cell
total magnetic moment: 0.0 μB/cell

abc: 11.252 3.444 7.637
angles: 90.00 113.28 90.00
Space group Cm (No. 8)
Asymmetric unit:
Zr 0.000 0.000 0.000 (multiplicity 2)
Hg 0.230 0.500 0.000 (multiplicity 2)
Br 0.037 0.500 0.293 (multiplicity 2)
Br 0.380 0.000 0.707 (multiplicity 2)



# 14
DFT (PBE-GGA) results for an optimized crystal structure of ZrHgBr2.

formation energy (no corrections): -114 meV per atom
D(E_F): 2.8 states/eV per cell
total magnetic moment: 0.0 μB/cell

abc: 3.549 4.784 5.678
angles: 90.00 90.00 90.00
Space group Pmmm (No. 47)
Asymmetric unit:
Zr 0.000 0.000 0.000 (multiplicity 1)
Hg 0.500 0.000 0.500 (multiplicity 1)
Br 0.000 0.500 0.500 (multiplicity 1)
Br 0.500 0.500 0.000 (multiplicity 1)



# 15
DFT (PBE-GGA) results for an optimized crystal structure of ZrHgBr2.

formation energy (no corrections): -864 meV per atom
D(E_F): 6.5 states/eV per cell
total magnetic moment: 0.0 μB/cell

abc: 3.5012 3.5012 33.1819
angles: 90.00 90.00 120.00
Space group R-3m (No. 166, hexagonal axes)
Asymmetric unit:
Zr 0.0000 0.0000 0.0000 (multiplicity 3)
Hg 0.0000 0.0000 0.5000 (multiplicity 3)
Br 0.0000 0.0000 0.2756 (multiplicity 6)



# 16
DFT (PBE-GGA) results for an optimized crystal structure of ZrHg2Br2.

formation energy (no corrections): -307 meV per atom
D(E_F): 5.7 states/eV per cell
total magnetic moment: 4.0 μB/cell

abc: 7.222 7.222 6.859
angles: 90.00 90.00 90.00
Space group P4/mbm (No. 127)
Asymmetric unit:
Zr 0.000 0.000 0.000 (multiplicity 2)
Hg 0.167 0.333 0.500 (multiplicity 4)
Br 0.177 0.677 0.000 (multiplicity 4)



# 17
DFT (PBE-GGA) results for an optimized crystal structure of Zr4HgBr.

formation energy (no corrections): 376 meV per atom
D(E_F): 22.3 states/eV per cell
total magnetic moment: 0.0 μB/cell

abc: 8.278 8.278 8.278
angles: 90.00 90.00 90.00
Space group F-43m (No. 216)
Asymmetric unit:
Zr 0.123 0.123 0.377 (multiplicity 16)
Hg 0.250 0.250 0.750 (multiplicity 4)
Br 0.000 0.000 0.000 (multiplicity 4)



# 18
DFT (PBE-GGA) results for an optimized crystal structure of ZrHgBr2.

formation energy (no corrections): -543 meV per atom
D(E_F): 6.4 states/eV per cell
total magnetic moment: 1.6 μB/cell

abc: 3.347 4.836 14.671
angles: 90.00 90.00 90.00
Space group Imm2 (No. 44)
Asymmetric unit:
Zr 0.000 0.000 0.000 (multiplicity 2)
Hg 0.000 0.500 0.317 (multiplicity 2)
Br 0.000 0.000 0.471 (multiplicity 2)
Br 0.000 0.500 0.647 (multiplicity 2)



# 19
DFT (PBE-GGA) results for an optimized crystal structure of Zr2HgBr2.

formation energy (no corrections): -173 meV per atom
D(E_F): 11.4 states/eV per cell
total magnetic moment: 0.0 μB/cell

abc: 8.124 8.124 3.324
angles: 90.00 90.00 90.00
Space group P4/mbm (No. 127)
Asymmetric unit:
Zr 0.159 0.341 0.000 (multiplicity 4)
Hg 0.000 0.000 0.000 (multiplicity 2)
Br 0.136 0.636 0.500 (multiplicity 4)



# 20
DFT (PBE-GGA) results for an optimized crystal structure of Zr3Hg2Br9.

formation energy (no corrections): -1017 meV per atom
D(E_F): 19.5 states/eV per cell
total magnetic moment: 8.2 μB/cell

abc: 13.626 16.396 11.393
angles: 90.00 120.16 90.00
Space group C2/m (No. 12)
Asymmetric unit:
Zr 0.080 0.000 0.340 (multiplicity 4)
Zr 0.143 0.117 0.661 (multiplicity 8)
Hg 0.068 0.391 0.815 (multiplicity 8)
Br 0.000 0.235 0.500 (multiplicity 4)
Br 0.053 0.120 0.822 (multiplicity 8)
Br 0.175 0.000 0.194 (multiplicity 4)
Br 0.209 0.500 0.187 (multiplicity 4)
Br 0.217 0.274 0.191 (multiplicity 8)
Br 0.235 0.113 0.501 (multiplicity 8)



# 21
DFT (PBE-GGA) results for an optimized crystal structure of Zr2HgBr2.

formation energy (no corrections): -184 meV per atom
D(E_F): 11.0 states/eV per cell
total magnetic moment: 0.0 μB/cell

abc: 4.389 4.389 12.867
angles: 90.00 90.00 90.00
Space group I4/mmm (No. 139)
Asymmetric unit:
Zr 0.000 0.000 0.109 (multiplicity 4)
Hg 0.000 0.000 0.500 (multiplicity 2)
Br 0.000 0.500 0.250 (multiplicity 4)



# 22
DFT (PBE-GGA) results for an optimized crystal structure of ZrHgBr2.

formation energy (no corrections): -78 meV per atom
D(E_F): 2.8 states/eV per cell
total magnetic moment: 1.3 μB/cell

abc: 5.339 5.339 3.508
angles: 90.00 90.00 90.00
Space group P4/mmm (No. 123)
Asymmetric unit:
Zr 0.000 0.000 0.000 (multiplicity 1)
Hg 0.500 0.500 0.000 (multiplicity 1)
Br 0.000 0.500 0.500 (multiplicity 2)



# 23
DFT (PBE-GGA) results for an optimized crystal structure of ZrHgBr2.

formation energy (no corrections): -203 meV per atom
D(E_F): 6.0 states/eV per cell
total magnetic moment: 7.9 μB/cell

abc: 7.344 7.344 7.344
angles: 90.00 90.00 90.00
Space group Fm-3m (No. 225)
Asymmetric unit:
Zr 0.000 0.000 0.000 (multiplicity 4)
Hg 0.000 0.000 0.500 (multiplicity 4)
Br 0.250 0.250 0.250 (multiplicity 8)



# 24
DFT (PBE-GGA) results for an optimized crystal structure of Zr3HgBr.

formation energy (no corrections): 383 meV per atom
D(E_F): 5.6 states/eV per cell
total magnetic moment: 0.0 μB/cell

abc: 4.978 4.978 4.978
angles: 90.00 90.00 90.00
Space group Pm-3m (No. 221)
Asymmetric unit:
Zr 0.000 0.000 0.500 (multiplicity 3)
Hg 0.500 0.500 0.500 (multiplicity 1)
Br 0.000 0.000 0.000 (multiplicity 1)